No. 1
Tl3Cd5Bi12, relaxed, DFT GGA-PBE; crystal system = cubic; space-group type = No. 230
1.0
16.984 0.000 0.000
-5.661 16.012 0.000
-5.661 -8.006 13.867
Bi Tl Cd
48 12 20
direct
0.844 0.565 0.934
0.369 0.779 0.435
0.844 0.279 0.411
0.934 0.065 0.844
0.089 0.656 0.721
0.869 0.934 0.089
0.721 0.156 0.089
0.566 0.911 0.631
0.934 0.869 0.589
0.279 0.435 0.869
0.721 0.565 0.131
0.435 0.279 0.369
0.434 0.344 0.565
0.434 0.089 0.369
0.131 0.066 0.911
0.066 0.131 0.411
0.279 0.844 0.911
0.369 0.589 0.434
0.344 0.434 0.065
0.435 0.156 0.566
0.631 0.221 0.565
0.065 0.131 0.221
0.911 0.344 0.279
0.221 0.631 0.065
0.935 0.869 0.779
0.065 0.934 0.344
0.566 0.656 0.435
0.565 0.721 0.631
0.589 0.369 0.934
0.656 0.566 0.935
0.089 0.434 0.869
0.656 0.089 0.221
0.066 0.935 0.156
0.156 0.435 0.066
0.869 0.935 0.279
0.779 0.411 0.344
0.411 0.779 0.844
0.779 0.369 0.935
0.221 0.589 0.656
0.589 0.221 0.156
0.344 0.911 0.779
0.631 0.411 0.566
0.156 0.721 0.589
0.411 0.631 0.066
0.911 0.566 0.131
0.565 0.844 0.434
0.131 0.065 0.721
0.935 0.066 0.656
0.875 0.125 0.250
0.625 0.375 0.750
0.125 0.875 0.750
0.125 0.250 0.875
0.750 0.875 0.625
0.250 0.625 0.875
0.250 0.125 0.375
0.875 0.750 0.125
0.625 0.250 0.375
0.750 0.375 0.125
0.375 0.625 0.250
0.375 0.750 0.625
0.875 0.625 0.750
0.500 0.500 0.000
0.875 0.250 0.625
0.250 0.875 0.125
0.625 0.750 0.875
0.125 0.750 0.375
0.500 0.000 0.500
0.750 0.625 0.375
0.000 0.000 0.000
0.750 0.125 0.875
0.000 0.000 0.500
0.375 0.125 0.750
0.125 0.375 0.250
0.625 0.875 0.250
0.000 0.500 0.500
0.250 0.375 0.625
0.375 0.250 0.125
0.500 0.500 0.500
0.500 0.000 0.000
0.000 0.500 0.000

---

No. 2
TlCd2Bi, relaxed, DFT GGA-PBE; crystal system = tetragonal; ΔE to the lowest computed polymorph = 122 meV/atom; space-group type = No. 122
1.0
8.572 0.000 0.000
0.000 8.572 0.000
4.286 4.286 3.208
Cd Tl Bi
4 2 2
direct
0.633 0.125 0.250
0.117 0.625 0.250
0.375 0.367 0.750
0.875 0.883 0.750
0.250 0.750 0.500
0.500 0.500 0.000
0.000 0.000 0.000
0.750 0.250 0.500

---

No. 3
TlCd4Bi, relaxed, DFT GGA-PBE; crystal system = orthorhombic; ΔE to the lowest computed polymorph = 44 meV/atom; space-group type = No. 63
1.0
4.829 0.000 0.000
0.000 8.314 0.000
-2.415 0.000 8.771
Cd Tl Bi
8 2 2
direct
0.528 0.750 0.057
0.776 0.922 0.551
0.000 0.000 0.000
0.472 0.250 0.943
0.776 0.578 0.551
0.000 0.500 0.000
0.224 0.078 0.449
0.224 0.422 0.449
0.641 0.250 0.282
0.359 0.750 0.718
0.866 0.250 0.732
0.134 0.750 0.268

---

No. 4
Tl5CdBi, relaxed, DFT GGA-PBE; crystal system = monoclinic; space-group type = No. 15
1.0
6.270 -0.199 -1.636
-0.880 7.413 -4.270
-0.424 0.353 9.359
Tl Bi Cd
10 2 2
direct
0.448 0.789 0.860
0.052 0.429 0.140
0.948 0.571 0.860
0.552 0.211 0.140
0.378 0.890 0.274
0.878 0.884 0.274
0.750 0.658 0.500
0.250 0.342 0.500
0.622 0.110 0.726
0.122 0.116 0.726
0.500 0.500 0.000
0.000 0.000 0.000
0.250 0.733 0.500
0.750 0.267 0.500

---

No. 5
Tl12Cd3Bi, relaxed, DFT GGA-PBE; crystal system = tetragonal; space-group type = No. 123
1.0
4.893 0.000 0.000
0.000 4.893 0.000
0.000 0.000 19.940
Tl Cd Bi
12 3 1
direct
0.500 0.500 0.500
0.000 0.500 0.126
0.500 0.000 0.874
0.500 0.500 0.000
0.000 0.500 0.378
0.000 0.500 0.622
0.500 0.000 0.126
0.500 0.500 0.252
0.500 0.500 0.748
0.500 0.000 0.378
0.500 0.000 0.622
0.000 0.500 0.874
0.000 0.000 0.743
0.000 0.000 0.257
0.000 0.000 0.500
0.000 0.000 0.000

---

No. 6
TlCd2Bi, relaxed, DFT GGA-PBE; crystal system = trigonal; ΔE to the lowest computed polymorph = 87 meV/atom; space-group type = No. 160
1.0
4.610 0.000 0.000
2.305 3.993 0.000
2.305 1.331 6.670
Bi Cd Tl
1 2 1
direct
0.500 0.500 0.500
0.247 0.247 0.258
0.084 0.084 0.749
0.669 0.669 0.992

---

The energy of formation from the pure elements results, record by record, are as follows: 5.50, 2.94, 2.72, 0.49, 0.68, 2.14 kcal/mol of atoms.
The D(E_F) results, record by record, are as follows: 11.1, 2.4, 2.5, 2.7, 7.0, 2.0 states/eV/f.u..